Zn3PO: optimized geometry, PBE.

Cell lengths 4.5538, 4.5538, 4.5538 Å; angles 90.00, 90.00, 90.00 degrees
With the nearest neighbours (Å) after each atom.
Fractional positions:
1 Zn 0.0000 0.5000 0.0000  2 P 2.28
2 Zn 0.0000 0.0000 0.5000  2 P 2.28
3 O 0.5000 0.5000 0.5000  12 Zn 3.22
4 Zn 0.5000 0.0000 0.0000  2 P 2.28
5 P 0.0000 0.0000 0.0000  6 Zn 2.28

formation energy (no corrections): 0.42 eV per atom
final energy: -2.42 eV per atom
space-group type: Pm-3m